The following is a DFT calculation (PBE-GGA) of Ho4Er4Sc after structural relaxation.

Computed properties:
**Calculated total energy**: -4.73 eV/atom
**Polymorph energy (0 for the lowest one)**: 0.000 eV/atom
**Space group**: I4/mmm, No. 139

abc: 4.925 7.803 7.803
angles: 84.28 71.61 71.61
Sites, in units of the cell vectors:
Ho 0.331 0.669 0.669
Ho 0.000 0.331 0.669
Ho 0.000 0.669 0.331
Ho 0.669 0.331 0.331
Er 0.665 0.000 0.670
Er 0.335 0.330 0.000
Er 0.665 0.670 0.000
Er 0.335 0.000 0.330
Sc 0.000 0.000 0.000

The following is a DFT calculation (PBE-GGA) of Ho2ErSc2 after structural relaxation.

Computed properties:
**Calculated total energy**: -5.20 eV/atom
**Polymorph energy (0 for the lowest one)**: 0.000 eV/atom
**Space group**: P4/mbm, No. 127

abc: 9.023 9.023 3.506
angles: 90.00 90.00 90.00
Sites, in units of the cell vectors:
Ho 0.675 0.175 0.500
Ho 0.325 0.825 0.500
Ho 0.175 0.325 0.500
Ho 0.825 0.675 0.500
Er 0.000 0.000 0.000
Er 0.500 0.500 0.000
Sc 0.379 0.121 0.000
Sc 0.621 0.879 0.000
Sc 0.121 0.621 0.000
Sc 0.879 0.379 0.000

The following is a DFT calculation (PBE-GGA) of Ho4Er19Sc6 after structural relaxation.

Computed properties:
**Calculated total energy**: -4.53 eV/atom
**Space group**: I23, No. 197

abc: 10.536 10.537 10.537
angles: 109.47 109.47 109.47
Site moments in Bohr magnetons follow the coordinates.
Sites, in units of the cell vectors:
Er 0.553 0.214 0.221  0.00
Er 0.734 0.734 0.000  0.12
Er 0.000 0.734 0.734  0.12
Er 0.734 0.000 0.734  0.12
Er 0.992 0.332 0.779  0.00
Er 0.008 0.786 0.340  0.00
Er 0.786 0.340 0.008  0.00
Er 0.214 0.221 0.553  0.00
Er 0.332 0.779 0.992  0.00
Er 0.266 0.266 0.000  0.12
Er 0.000 0.000 0.000  0.01
Er 0.000 0.266 0.266  0.12
Er 0.668 0.660 0.447  0.00
Er 0.340 0.008 0.786  0.00
Er 0.660 0.447 0.668  0.00
Er 0.447 0.668 0.660  0.00
Er 0.221 0.553 0.214  0.00
Er 0.779 0.992 0.332  0.00
Er 0.266 0.000 0.266  0.12
Sc 0.500 0.119 0.619  0.23
Sc 0.619 0.500 0.119  0.23
Sc 0.381 0.500 0.881  0.23
Sc 0.500 0.881 0.381  0.23
Sc 0.119 0.619 0.500  0.23
Sc 0.881 0.381 0.500  0.23
Ho 0.000 0.643 0.000  0.02
Ho 0.000 0.000 0.643  0.02
Ho 0.357 0.357 0.357  0.02
Ho 0.643 0.000 0.000  0.02

The following is a DFT calculation (PBE-GGA) of Ho2Er3Sc5 after structural relaxation.

Computed properties:
**Calculated total energy**: -5.40 eV/atom
**Polymorph energy (0 for the lowest one)**: 0.000 eV/atom
**Space group**: P-1, No. 2

abc: 11.236 8.943 12.203
angles: 137.16 138.78 55.19
Sites, in units of the cell vectors:
Er 0.325 0.920 0.049
Er 0.022 0.227 0.850
Er 0.675 0.080 0.951
Er 0.523 0.713 0.842
Er 0.477 0.287 0.158
Er 0.978 0.773 0.150
Sc 0.824 0.426 0.051
Sc 0.073 0.669 0.545
Sc 0.723 0.525 0.648
Sc 0.625 0.625 0.250
Sc 0.927 0.331 0.455
Sc 0.426 0.825 0.449
Sc 0.574 0.175 0.551
Sc 0.375 0.375 0.750
Sc 0.176 0.574 0.949
Sc 0.277 0.475 0.352
Ho 0.130 0.131 0.258
Ho 0.774 0.973 0.351
Ho 0.226 0.027 0.649
Ho 0.870 0.869 0.742

The following is a DFT calculation (PBE-GGA) of Ho6ErSc after structural relaxation.

Computed properties:
**Calculated total energy**: -4.60 eV/atom
**Polymorph energy (0 for the lowest one)**: 0.000 eV/atom
**Space group**: C2/m, No. 12

abc: 6.505 6.505 9.280
angles: 110.47 110.47 120.07
Sites, in units of the cell vectors:
Ho 0.309 0.754 0.753
Ho 0.801 0.801 0.247
Ho 0.691 0.246 0.247
Ho 0.754 0.309 0.753
Ho 0.246 0.691 0.247
Ho 0.199 0.199 0.753
Sc 0.000 0.000 0.000
Er 0.500 0.500 0.500

The following is a DFT calculation (PBE-GGA) of Ho2Er5Sc after structural relaxation.

Computed properties:
**Calculated total energy**: -4.78 eV/atom
**Polymorph energy (0 for the lowest one)**: 0.000 eV/atom
**Space group**: Fmm2, No. 42

abc: 7.107 7.107 6.568
angles: 105.69 105.68 120.02
Sites, in units of the cell vectors:
Er 0.737 0.819 0.500
Er 0.237 0.319 0.500
Er 0.321 0.235 0.000
Er 0.817 0.234 0.000
Er 0.321 0.739 0.000
Ho 0.739 0.324 0.507
Ho 0.232 0.817 0.492
Sc 0.820 0.736 0.000

no.,formation energy (eV/atom)
1,0.032
2,0.076
3,0.398
4,0.055
5,0.194
6,0.009